(1)
First-principles (PBE) data for GeSb2As after structural relaxation, as listed in the Alexandria database.

Properties
total magnetic moment: 0.00 μB per cell
space group: No. 122
formation energy without anion corrections: 280 meV per atom

abc: 6.9849 6.9849 6.9849
angles: 119.41 119.41 91.02
Last column: nearest neighbours and their distance in Å.
Sites, in units of the cell vectors:
Ge 0.0000 0.0000 0.0000  4 Sb 2.75
Ge 0.7500 0.2500 0.5000  4 Sb 2.75
Sb 0.1196 0.6250 0.9946  2 Ge 2.75, 2 As 2.80
Sb 0.3750 0.3696 0.4946  2 Ge 2.75, 2 As 2.80
Sb 0.6304 0.1250 0.0054  2 Ge 2.75, 2 As 2.80
Sb 0.8750 0.8804 0.5054  2 Ge 2.75, 2 As 2.80
As 0.2500 0.7500 0.5000  4 Sb 2.80
As 0.5000 0.5000 0.0000  4 Sb 2.80

***

(2)
First-principles (PBE) data for Pm3Ho8Tm2 after structural relaxation, as listed in the Alexandria database.

Properties
total magnetic moment: 0.00 μB per cell
space group: No. 12
energy of formation: 0.25 eV/atom

abc: 10.6554 10.6554 5.6190
angles: 90.02 90.02 42.31
Last column: nearest neighbours and their distance in Å.
Sites, in units of the cell vectors:
Pm 0.0000 0.0000 0.0000  4 Ho 3.12
Pm 0.2915 0.7085 0.5000  1 Pm 3.21, 6 Ho 3.50-3.56
Pm 0.7085 0.2915 0.5000  1 Pm 3.21, 6 Ho 3.50-3.56
Ho 0.1353 0.1353 0.4996  4 Pm 3.50-3.89, 2 Tm 3.51, 7 Ho 3.63-3.92
Ho 0.1815 0.5992 0.0000  1 Pm 3.12, 3 Ho 3.21-3.47, 2 Tm 3.37-3.44
Ho 0.3277 0.3277 0.4996  2 Tm 3.29-3.30, 4 Ho 3.47
Ho 0.4008 0.8185 0.0000  1 Pm 3.12, 3 Ho 3.21-3.47, 2 Tm 3.37-3.44
Ho 0.5992 0.1815 0.0000  1 Pm 3.12, 3 Ho 3.21-3.47, 2 Tm 3.37-3.44
Ho 0.6723 0.6723 0.5004  2 Tm 3.29-3.30, 4 Ho 3.47
Ho 0.8185 0.4008 0.0000  1 Pm 3.12, 3 Ho 3.21-3.47, 2 Tm 3.37-3.44
Ho 0.8647 0.8647 0.5004  4 Pm 3.50-3.89, 2 Tm 3.51, 7 Ho 3.63-3.92
Tm 0.2411 0.2411 0.9994  8 Ho 3.29-3.51
Tm 0.7589 0.7589 0.0006  8 Ho 3.29-3.51

***

(3)
First-principles (PBE) data for Sm2BeSiN after structural relaxation, as listed in the Alexandria database.

Properties
total magnetic moment: 0.00 μB per cell
space group: No. 11
formation energy without anion corrections: -982 meV per atom

abc: 6.2546 3.7933 8.0417
angles: 90.00 108.22 90.00
Last column: nearest neighbours and their distance in Å.
Sites, in units of the cell vectors:
Sm 0.2055 0.2500 0.3914  2 N 2.57
Sm 0.2154 0.2500 0.9632  3 N 2.36-2.57
Sm 0.7846 0.7500 0.0368  3 N 2.36-2.57
Sm 0.7945 0.7500 0.6086  2 N 2.57
Be 0.4511 0.7500 0.2439  1 N 1.61
Be 0.5489 0.2500 0.7561  1 N 1.61
Si 0.3332 0.7500 0.7046  2 Be 2.29
Si 0.6668 0.2500 0.2954  2 Be 2.29
N 0.1796 0.7500 0.1693  1 Be 1.61
N 0.8204 0.2500 0.8307  1 Be 1.61

***

(4)
First-principles (PBE) data for InCF2 after structural relaxation, as listed in the Alexandria database.

Properties
total magnetic moment: 0.58 μB per cell
space group: No. 166
formation energy without anion corrections: 448 meV per atom

abc: 7.0832 7.0832 7.0832
angles: 26.26 26.26 26.26
Last column: nearest neighbours and their distance in Å.
Sites, in units of the cell vectors:
In 0.0000 0.0000 0.0000  2 F 2.43
C 0.5000 0.5000 0.5000  6 F 2.10
F 0.1187 0.1187 0.1187  3 C 2.10
F 0.8813 0.8813 0.8813  3 C 2.10

***

(5)
First-principles (PBE) data for LaSbAs2 after structural relaxation, as listed in the Alexandria database.

Properties
total magnetic moment: 0.00 μB per cell
space group: No. 139
formation energy without anion corrections: -500 meV per atom

abc: 5.8175 5.8175 5.8175
angles: 134.57 134.57 66.21
Last column: nearest neighbours and their distance in Å.
Sites, in units of the cell vectors:
La 0.0000 0.0000 0.0000  4 Sb 3.18, 8 As 3.31
Sb 0.5000 0.5000 0.0000  4 La 3.18, 8 As 3.31
As 0.2500 0.7500 0.5000  4 As 3.18, 4 La 3.31, 4 Sb 3.31
As 0.7500 0.2500 0.5000  4 As 3.18, 4 La 3.31, 4 Sb 3.31

***

(6)
First-principles (PBE) data for Nd7SmTl3 after structural relaxation, as listed in the Alexandria database.

Properties
total magnetic moment: 0.00 μB per cell
space group: No. 12
energy of formation: -0.02 eV/atom

abc: 8.4576 8.4576 5.9863
angles: 110.43 110.43 92.70
Last column: nearest neighbours and their distance in Å.
Sites, in units of the cell vectors:
Nd 0.0000 0.0000 0.0000  2 Sm 2.99, 2 Tl 3.21
Nd 0.1077 0.5304 0.3174  4 Tl 3.16-3.54, 2 Nd 3.43-3.44
Nd 0.3322 0.3322 0.8336  1 Sm 3.35, 4 Tl 3.36-3.44, 1 Nd 3.38
Nd 0.4696 0.8923 0.6826  4 Tl 3.16-3.54, 2 Nd 3.43-3.44
Nd 0.5304 0.1077 0.3174  4 Tl 3.16-3.54, 2 Nd 3.43-3.44
Nd 0.6678 0.6678 0.1664  1 Sm 3.35, 4 Tl 3.36-3.44, 1 Nd 3.38
Nd 0.8923 0.4696 0.6826  4 Tl 3.16-3.54, 2 Nd 3.43-3.44
Sm 0.0000 0.0000 0.5000  4 Nd 2.99-3.35
Tl 0.2624 0.7376 0.0000  9 Nd 3.21-3.54
Tl 0.5000 0.5000 0.5000  8 Nd 3.16-3.44
Tl 0.7376 0.2624 0.0000  9 Nd 3.21-3.54

***

(7)
First-principles (PBE) data for BaLiEuSn after structural relaxation, as listed in the Alexandria database.

Properties
total magnetic moment: 7.11 μB per cell
space group: No. 216
energy of formation: -0.38 eV/atom

abc: 5.8024 5.8024 5.8024
angles: 60.00 60.00 60.00
Last column: nearest neighbours and their distance in Å.
Sites, in units of the cell vectors:
Ba 0.0000 0.0000 0.0000  4 Sn 3.55, 4 Li 3.55
Li 0.7500 0.7500 0.7500  4 Eu 3.55, 4 Ba 3.55
Eu 0.5000 0.5000 0.5000  4 Li 3.55, 4 Sn 3.55
Sn 0.2500 0.2500 0.2500  4 Eu 3.55, 4 Ba 3.55

***

(8)
First-principles (PBE) data for Tl2Cd2IO6 after structural relaxation, as listed in the Alexandria database.

Properties
total magnetic moment: 0.05 μB per cell
space group: No. 12
formation energy without anion corrections: -653 meV per atom

abc: 5.8488 5.8488 6.8417
angles: 99.26 99.26 118.96
Last column: nearest neighbours and their distance in Å.
Sites, in units of the cell vectors:
Tl 0.1781 0.8219 0.0000  6 O 2.82-2.96
Tl 0.8219 0.1781 0.0000  6 O 2.82-2.96
Cd 0.3359 0.6641 0.5000  6 O 2.37-2.39
Cd 0.6641 0.3359 0.5000  6 O 2.37-2.39
I 0.0000 0.0000 0.5000  6 O 2.04-2.05
O 0.0625 0.3546 0.6702  1 I 2.04
O 0.2197 0.2197 0.3214  1 I 2.05
O 0.3546 0.0625 0.6702  1 I 2.04
O 0.6454 0.9375 0.3298  1 I 2.04
O 0.7803 0.7803 0.6786  1 I 2.05
O 0.9375 0.6454 0.3298  1 I 2.04